(A)
{"formula": "P2OsO2", "functional": "PBE", "state": "relaxed", "cell": [[3.833, 0.000, 0.000], [0.000, 3.833, 0.000], [0.000, 0.000, 3.906]], "species": ["P", "P", "Os", "O", "O"], "frac_coords": [[0.000, 0.500, 0.000], [0.500, 0.000, 0.000], [0.000, 0.000, 0.500], [0.500, 0.500, 0.000], [0.500, 0.500, 0.500]], "n_ef_per_ev_fu": 1.98}


(B)
{"formula": "P2OsO2", "functional": "PBE", "state": "relaxed", "cell": [[3.306, 0.000, 0.000], [0.000, 3.306, 0.000], [0.000, 0.000, 7.832]], "species": ["P", "P", "Os", "O", "O"], "frac_coords": [[0.000, 0.000, 0.000], [0.000, 0.000, 0.500], [0.500, 0.500, 0.000], [0.000, 0.500, 0.500], [0.500, 0.000, 0.500]], "n_ef_per_ev_fu": 3.32}


It is (B) that is most stable; the runner-up trails by 826 meV per atom.


(A)
{"formula": "POsPdO2", "functional": "PBE", "state": "relaxed", "cell": [[3.681, 0.000, 0.000], [0.000, 3.681, 0.000], [0.000, 0.000, 5.396]], "species": ["P", "Os", "Pd", "O", "O"], "frac_coords": [[0.000, 0.000, 0.000], [0.000, 0.000, 0.500], [0.500, 0.500, 0.000], [0.000, 0.500, 0.500], [0.500, 0.000, 0.500]], "n_ef_per_ev_fu": 3.15}


(B)
{"formula": "POsPdO2", "functional": "PBE", "state": "relaxed", "cell": [[3.663, 0.000, 0.000], [0.000, 3.663, 0.000], [0.000, 0.000, 6.144]], "species": ["P", "Os", "Pd", "O", "O"], "frac_coords": [[0.000, 0.000, 0.000], [0.500, 0.500, 0.000], [0.000, 0.000, 0.500], [0.000, 0.500, 0.500], [0.500, 0.000, 0.500]], "n_ef_per_ev_fu": 4.95}


It is (A) that is most stable; the runner-up trails by 1261 meV per atom.